Record 1
First-principles (GGA-PBE) data for Rb3GaN after structural relaxation, as listed in Alexandria.

Unit cell a=5.873 b=5.873 c=5.873 alpha=90.00 beta=90.00 gamma=90.00
Site moments in Bohr magnetons follow the coordinates.
Atoms (fractional coordinates):
Ga 0.500 0.500 0.500  0.26
Rb 0.000 0.500 0.000  0.03
Rb 0.000 0.000 0.500  0.04
Rb 0.500 0.000 0.000  0.01
N 0.000 0.000 0.000  0.94

Values from the calculation:
As for the offset from the most stable computed form: 0 meV per atom. For the energy relative to the elements, uncorrected, the calculation gives 0.613 eV per atom.

***

Record 2
First-principles (GGA-PBE) data for RbGa2N4 after structural relaxation, as listed in Alexandria.

Unit cell a=4.562 b=4.562 c=6.779 alpha=70.33 beta=70.33 gamma=90.00
Site moments in Bohr magnetons follow the coordinates.
Atoms (fractional coordinates):
Ga 0.601 0.601 0.798  -0.01
Ga 0.399 0.399 0.202  -0.01
Rb 0.000 0.000 0.000  0.00
N 0.757 0.757 0.486  1.08
N 0.243 0.243 0.514  1.08
N 0.000 0.500 0.000  0.11
N 0.500 0.000 0.000  0.11

Values from the calculation:
For the energy relative to the elements, uncorrected, the calculation gives 2.013 eV per atom.

***

Record 3
First-principles (GGA-PBE) data for Rb2GaN4 after structural relaxation, as listed in Alexandria.

Unit cell a=4.312 b=4.312 c=7.973 alpha=74.31 beta=74.31 gamma=90.00
Site moments in Bohr magnetons follow the coordinates.
Atoms (fractional coordinates):
Ga 0.000 0.000 0.000  -0.04
Rb 0.650 0.650 0.700  0.03
Rb 0.350 0.350 0.300  0.03
N 0.865 0.865 0.269  1.16
N 0.135 0.135 0.731  1.16
N 0.000 0.500 0.000  1.19
N 0.500 0.000 0.000  1.19

Values from the calculation:
For the energy relative to the elements, uncorrected, the calculation gives 1.315 eV per atom.

***

Record 4
First-principles (GGA-PBE) data for Rb2GaN after structural relaxation, as listed in Alexandria.

Unit cell a=12.746 b=12.746 c=9.216 alpha=46.25 beta=46.25 gamma=90.00
Atoms (fractional coordinates):
Ga 0.000 0.000 0.000
Ga 0.750 0.250 0.500
Rb 0.418 0.125 0.250
Rb 0.332 0.625 0.250
Rb 0.375 0.582 0.750
Rb 0.875 0.668 0.750
N 0.500 0.500 0.000
N 0.250 0.750 0.500

Values from the calculation:
As for the offset from the most stable computed form: 0 meV per atom. For the energy relative to the elements, uncorrected, the calculation gives 0.230 eV per atom.

***

Record 5
First-principles (GGA-PBE) data for RbGa3N after structural relaxation, as listed in Alexandria.

Unit cell a=4.852 b=4.852 c=4.852 alpha=90.00 beta=90.00 gamma=90.00
Site moments in Bohr magnetons follow the coordinates.
Atoms (fractional coordinates):
Ga 0.000 0.500 0.000  0.02
Ga 0.000 0.000 0.500  0.00
Ga 0.500 0.000 0.000  0.04
Rb 0.500 0.500 0.500  0.01
N 0.000 0.000 0.000  0.28

Values from the calculation:
As for the offset from the most stable computed form: 0 meV per atom. For the energy relative to the elements, uncorrected, the calculation gives 0.693 eV per atom.

***

Record 6
First-principles (GGA-PBE) data for RbGaN after structural relaxation, as listed in Alexandria.

Unit cell a=6.258 b=6.470 c=8.759 alpha=90.00 beta=118.91 gamma=90.00
Atoms (fractional coordinates):
Rb 0.614 0.081 0.794
Rb 0.886 0.581 0.206
Rb 0.386 0.919 0.206
Rb 0.114 0.419 0.794
N 0.170 0.849 0.506
N 0.330 0.349 0.494
N 0.830 0.151 0.494
N 0.670 0.651 0.506
Ga 0.919 0.865 0.582
Ga 0.581 0.365 0.418
Ga 0.081 0.135 0.418
Ga 0.419 0.635 0.582

Values from the calculation:
For the energy relative to the elements, uncorrected, the calculation gives -0.023 eV per atom.

***

Record 7
First-principles (GGA-PBE) data for RbGaN2 after structural relaxation, as listed in Alexandria.

Unit cell a=5.042 b=5.042 c=6.736 alpha=68.02 beta=68.02 gamma=90.00
Site moments in Bohr magnetons follow the coordinates.
Atoms (fractional coordinates):
Ga 0.500 0.500 0.000  -0.01
Ga 0.250 0.750 0.500  -0.01
Rb 0.000 0.000 0.000  0.00
Rb 0.750 0.250 0.500  0.00
N 0.375 0.125 0.250  0.20
N 0.375 0.625 0.250  0.19
N 0.375 0.625 0.750  0.16
N 0.875 0.625 0.750  0.15

Values from the calculation:
For the energy relative to the elements, uncorrected, the calculation gives 0.525 eV per atom.

***

Record 8
First-principles (GGA-PBE) data for Rb2Ga2N after structural relaxation, as listed in Alexandria.

Unit cell a=3.728 b=3.728 c=10.860 alpha=80.12 beta=80.12 gamma=90.00
Site moments in Bohr magnetons follow the coordinates.
Atoms (fractional coordinates):
Ga 0.750 0.250 0.500  0.00
Ga 0.250 0.750 0.500  0.00
Rb 0.420 0.420 0.160  0.01
Rb 0.580 0.580 0.840  0.01
N 0.000 0.000 0.000  0.99

Values from the calculation:
As for the offset from the most stable computed form: 309 meV per atom. For the energy relative to the elements, uncorrected, the calculation gives 0.523 eV per atom.

***

DFT total energy for every record listed, in sequence, given in eV per atom: -2.238; -3.747; -4.151; -3.092; -2.982; -4.129; -4.636; -2.740.
M_tot for every record listed, in sequence, given in μB per formula unit: 2.71; 3.50; 7.00; 0.00; 0.51; 0.00; 0.50; 1.59.
DOS at the Fermi energy for every record listed, in sequence, given in states/eV/f.u.: 4.90; 1.76; 2.30; 3.53; 3.39; 0.65; 2.11; 4.60.